## BaIn2Tc (GGA-PBE)

Data for a relaxed BaIn2Tc crystal.

a = 3.309 Å, b = 5.824 Å, c = 11.306 Å
α = 90.00°, β = 90.00°, γ = 90.00°
Space group Immm (No. 71)
Inequivalent atoms, fractional coordinates:
Ba (0.000, 0.000, 0.000) [2 per cell]
In (0.000, 0.500, 0.202) [4 per cell]
Tc (0.000, 0.000, 0.500) [2 per cell]

Output
Energy of formation from the pure elements   0.346 eV per atom

## Cs6InSe4 (GGA-PBE)

Data for a relaxed Cs6InSe4 crystal.

a = 11.4550 Å, b = 11.4550 Å, c = 8.8155 Å
α = 90.00°, β = 90.00°, γ = 120.00°
Space group P6_3mc (No. 186)
Inequivalent atoms, fractional coordinates:
Cs (0.0599, 0.5299, 0.0000) [6 per cell]
Cs (0.1452, 0.2904, 0.3237) [6 per cell]
In (0.3333, 0.6667, 0.6162) [2 per cell]
Se (0.1982, 0.3964, 0.7132) [6 per cell]
Se (0.3333, 0.6667, 0.2968) [2 per cell]

Output
Formation energy (no corrections)   -1.012 eV per atom

Sequential energy output: -4.0958; -2.9932 eV/atom